# NaS GGA-PBE optimized geometry
data_NaS
_chemical_formula_sum 'Na2 S2'
_cell_length_a 4.202
_cell_length_b 4.207
_cell_length_c 5.922
_cell_angle_alpha 104.65
_cell_angle_beta 105.53
_cell_angle_gamma 105.08
_symmetry_space_group_name_H-M 'P 1'
_symmetry_Int_Tables_number 1
loop_
_symmetry_equiv_pos_as_xyz
'x,y,z'
loop_
_atom_site_label
_atom_site_fract_x
_atom_site_fract_y
_atom_site_fract_z
Na1 0.190 0.406 0.967
Na2 0.183 0.899 0.466
S1 0.677 0.744 0.790
S2 0.702 0.071 0.145
# energy above the most stable polymorph in this dataset: 76 meV per atom
# formation energy from raw total energies: -0.754 eV per atom
# space-group type: P1, No. 1

---

# HoBe2Cu6 GGA-PBE optimized geometry
data_HoBe2Cu6
_chemical_formula_sum 'Ho2 Be4 Cu12'
_cell_length_a 7.290
_cell_length_b 7.290
_cell_length_c 7.290
_cell_angle_alpha 60.00
_cell_angle_beta 60.00
_cell_angle_gamma 60.00
_symmetry_space_group_name_H-M 'P 1'
_symmetry_Int_Tables_number 1
loop_
_symmetry_equiv_pos_as_xyz
'x,y,z'
loop_
_atom_site_label
_atom_site_fract_x
_atom_site_fract_y
_atom_site_fract_z
Cu1 0.022 0.478 0.022
Cu2 0.228 0.228 0.772
Cu3 0.228 0.772 0.228
Cu4 0.772 0.772 0.228
Cu5 0.772 0.228 0.228
Cu6 0.478 0.022 0.478
Cu7 0.772 0.228 0.772
Cu8 0.478 0.022 0.022
Cu9 0.228 0.772 0.772
Cu10 0.022 0.478 0.478
Cu11 0.478 0.478 0.022
Cu12 0.022 0.022 0.478
Ho1 0.750 0.750 0.750
Ho2 0.500 0.500 0.500
Be1 0.125 0.625 0.125
Be2 0.625 0.125 0.125
Be3 0.125 0.125 0.625
Be4 0.125 0.125 0.125
# ΔE_f: 0.30 eV per atom
# space-group type: Fd-3m, No. 227

---

# Cu2WSe GGA-PBE optimized geometry
data_Cu2WSe
_chemical_formula_sum 'Cu2 W1 Se1'
_cell_length_a 4.633
_cell_length_b 2.640
_cell_length_c 4.910
_cell_angle_alpha 91.09
_cell_angle_beta 90.00
_cell_angle_gamma 90.00
_symmetry_space_group_name_H-M 'P 1'
_symmetry_Int_Tables_number 1
loop_
_symmetry_equiv_pos_as_xyz
'x,y,z'
loop_
_atom_site_label
_atom_site_fract_x
_atom_site_fract_y
_atom_site_fract_z
Cu1 0.500 0.130 0.240
Cu2 0.000 0.146 0.985
Se1 0.000 0.601 0.515
W1 0.500 0.623 0.760
# formation energy from raw total energies: 0.420 eV per atom
# space-group type: Pm, No. 6

---

# YWSe GGA-PBE optimized geometry
data_YWSe
_chemical_formula_sum 'Y1 W1 Se1'
_cell_length_a 6.044
_cell_length_b 6.044
_cell_length_c 3.310
_cell_angle_alpha 74.11
_cell_angle_beta 74.11
_cell_angle_gamma 31.78
_symmetry_space_group_name_H-M 'P 1'
_symmetry_Int_Tables_number 1
loop_
_symmetry_equiv_pos_as_xyz
'x,y,z'
loop_
_atom_site_label
_atom_site_fract_x
_atom_site_fract_y
_atom_site_fract_z
Se1 0.968 0.968 0.032
Y1 0.672 0.672 0.328
W1 0.360 0.360 0.640
# energy above the most stable polymorph in this dataset: 0 meV per atom
# formation energy from raw total energies: -0.068 eV per atom
# space-group type: I4mm, No. 107

---

# Nd2In5Ir3 GGA-PBE optimized geometry
data_Nd2In5Ir3
_chemical_formula_sum 'Nd4 In10 Ir6'
_cell_length_a 4.517
_cell_length_b 7.390
_cell_length_c 13.526
_cell_angle_alpha 90.00
_cell_angle_beta 99.61
_cell_angle_gamma 90.00
_symmetry_space_group_name_H-M 'P 1'
_symmetry_Int_Tables_number 1
loop_
_symmetry_equiv_pos_as_xyz
'x,y,z'
loop_
_atom_site_label
_atom_site_fract_x
_atom_site_fract_y
_atom_site_fract_z
Ir1 0.770 0.686 0.540
Ir2 0.955 0.506 0.911
Ir3 0.045 0.006 0.089
Ir4 0.230 0.186 0.460
Ir5 0.611 0.530 0.222
Ir6 0.389 0.030 0.778
Nd1 0.824 0.193 0.648
Nd2 0.176 0.693 0.352
Nd3 0.526 0.293 0.051
Nd4 0.474 0.793 0.949
In1 0.291 0.487 0.582
In2 0.707 0.389 0.413
In3 0.947 0.123 0.893
In4 0.598 0.908 0.196
In5 0.053 0.623 0.107
In6 0.402 0.408 0.804
In7 0.127 0.250 0.253
In8 0.293 0.889 0.587
In9 0.873 0.750 0.747
In10 0.709 0.987 0.418
# ΔE_f: -0.46 eV per atom
# space-group type: Cmc2_1, No. 36

---

# DyMg5Sc GGA-PBE optimized geometry
data_DyMg5Sc
_chemical_formula_sum 'Dy1 Mg5 Sc1'
_cell_length_a 5.703
_cell_length_b 5.703
_cell_length_c 6.547
_cell_angle_alpha 100.52
_cell_angle_beta 100.52
_cell_angle_gamma 115.41
_symmetry_space_group_name_H-M 'P 1'
_symmetry_Int_Tables_number 1
loop_
_symmetry_equiv_pos_as_xyz
'x,y,z'
loop_
_atom_site_label
_atom_site_fract_x
_atom_site_fract_y
_atom_site_fract_z
Mg1 0.000 0.000 0.500
Mg2 0.482 0.908 0.233
Mg3 0.908 0.482 0.233
Mg4 0.518 0.092 0.767
Mg5 0.092 0.518 0.767
Dy1 0.000 0.000 0.000
Sc1 0.500 0.500 0.500
# ΔE_f: 0.12 eV per atom
# space-group type: C2/m, No. 12

---

# BiSb2IO GGA-PBE optimized geometry
data_BiSb2IO
_chemical_formula_sum 'Bi1 Sb2 I1 O1'
_cell_length_a 4.931
_cell_length_b 4.931
_cell_length_c 5.101
_cell_angle_alpha 90.00
_cell_angle_beta 90.00
_cell_angle_gamma 90.00
_symmetry_space_group_name_H-M 'P 1'
_symmetry_Int_Tables_number 1
loop_
_symmetry_equiv_pos_as_xyz
'x,y,z'
loop_
_atom_site_label
_atom_site_fract_x
_atom_site_fract_y
_atom_site_fract_z
Sb1 0.500 0.000 0.000
Sb2 0.000 0.500 0.000
I1 0.000 0.000 0.500
O1 0.000 0.000 0.000
Bi1 0.500 0.500 0.500
# energy above the most stable polymorph in this dataset: 0 meV per atom
# formation energy from raw total energies: 0.160 eV per atom
# space-group type: P4/mmm, No. 123

---

# MnSeS GGA-PBE optimized geometry
data_MnSeS
_chemical_formula_sum 'Mn2 Se2 S2'
_cell_length_a 3.369
_cell_length_b 5.909
_cell_length_c 6.910
_cell_angle_alpha 96.75
_cell_angle_beta 104.11
_cell_angle_gamma 90.00
_symmetry_space_group_name_H-M 'P 1'
_symmetry_Int_Tables_number 1
loop_
_symmetry_equiv_pos_as_xyz
'x,y,z'
loop_
_atom_site_label
_atom_site_fract_x
_atom_site_fract_y
_atom_site_fract_z
Se1 0.613 0.363 0.227
Se2 0.387 0.637 0.773
S1 0.096 0.857 0.191
S2 0.904 0.143 0.809
Mn1 0.500 0.000 0.000
Mn2 0.000 0.500 0.000
# energy above the most stable polymorph in this dataset: 0 meV per atom
# formation energy from raw total energies: -0.508 eV per atom
# space-group type: C2/m, No. 12

---

# CaLaOs GGA-PBE optimized geometry
data_CaLaOs
_chemical_formula_sum 'Ca1 La1 Os1'
_cell_length_a 4.268
_cell_length_b 4.268
_cell_length_c 6.327
_cell_angle_alpha 90.00
_cell_angle_beta 90.00
_cell_angle_gamma 120.00
_symmetry_space_group_name_H-M 'P 1'
_symmetry_Int_Tables_number 1
loop_
_symmetry_equiv_pos_as_xyz
'x,y,z'
loop_
_atom_site_label
_atom_site_fract_x
_atom_site_fract_y
_atom_site_fract_z
Ca1 0.000 0.000 0.900
La1 0.667 0.333 0.459
Os1 0.333 0.667 0.641
# energy above the most stable polymorph in this dataset: 184 meV per atom
# ΔE_f: 0.26 eV per atom
# space-group type: P3m1, No. 156

---

# Dy2Ni3Ge4Pd GGA-PBE optimized geometry
data_Dy2Ni3Ge4Pd
_chemical_formula_sum 'Dy2 Ni3 Ge4 Pd1'
_cell_length_a 4.127
_cell_length_b 4.127
_cell_length_c 9.784
_cell_angle_alpha 90.00
_cell_angle_beta 90.00
_cell_angle_gamma 90.00
_symmetry_space_group_name_H-M 'P 1'
_symmetry_Int_Tables_number 1
loop_
_symmetry_equiv_pos_as_xyz
'x,y,z'
loop_
_atom_site_label
_atom_site_fract_x
_atom_site_fract_y
_atom_site_fract_z
Ge1 0.000 0.500 0.359
Ge2 0.500 0.500 0.000
Ge3 0.000 0.000 0.000
Ge4 0.500 0.000 0.641
Ni1 0.000 0.000 0.500
Ni2 0.000 0.500 0.122
Ni3 0.500 0.000 0.878
Pd1 0.500 0.500 0.500
Dy1 0.500 0.000 0.245
Dy2 0.000 0.500 0.755
# ΔE_f: -0.71 eV per atom
# space-group type: P-4m2, No. 115

---

# PaMnPb2Se5 GGA-PBE optimized geometry
data_PaMnPb2Se5
_chemical_formula_sum 'Pa2 Mn2 Pb4 Se10'
_cell_length_a 4.198
_cell_length_b 9.354
_cell_length_c 13.517
_cell_angle_alpha 90.00
_cell_angle_beta 90.00
_cell_angle_gamma 102.97
_symmetry_space_group_name_H-M 'P 1'
_symmetry_Int_Tables_number 1
loop_
_symmetry_equiv_pos_as_xyz
'x,y,z'
loop_
_atom_site_label
_atom_site_fract_x
_atom_site_fract_y
_atom_site_fract_z
Pb1 0.860 0.719 0.181
Pb2 0.140 0.281 0.681
Pb3 0.923 0.847 0.856
Pb4 0.077 0.153 0.356
Pa1 0.804 0.607 0.522
Pa2 0.196 0.393 0.022
Se1 0.960 0.919 0.515
Se2 0.507 0.013 0.759
Se3 0.708 0.416 0.880
Se4 0.493 0.987 0.259
Se5 0.292 0.584 0.380
Se6 0.040 0.081 0.015
Se7 0.695 0.391 0.164
Se8 0.305 0.609 0.664
Se9 0.649 0.297 0.528
Se10 0.351 0.703 0.028
Mn1 0.573 0.146 0.920
Mn2 0.427 0.854 0.420
# formation energy from raw total energies: -0.774 eV per atom
# space-group type: Cmc2_1, No. 36

---

# Pr6Tl2Ge GGA-PBE optimized geometry
data_Pr6Tl2Ge
_chemical_formula_sum 'Pr6 Tl2 Ge1'
_cell_length_a 4.165
_cell_length_b 8.865
_cell_length_c 8.865
_cell_angle_alpha 120.00
_cell_angle_beta 90.00
_cell_angle_gamma 90.00
_symmetry_space_group_name_H-M 'P 1'
_symmetry_Int_Tables_number 1
loop_
_symmetry_equiv_pos_as_xyz
'x,y,z'
loop_
_atom_site_label
_atom_site_fract_x
_atom_site_fract_y
_atom_site_fract_z
Pr1 0.500 0.393 0.393
Pr2 0.000 0.258 0.000
Pr3 0.000 0.742 0.742
Pr4 0.500 0.607 0.000
Pr5 0.500 0.000 0.607
Pr6 0.000 0.000 0.258
Ge1 0.500 0.000 0.000
Tl1 0.000 0.333 0.667
Tl2 0.000 0.667 0.333
# ΔE_f: -0.38 eV per atom
# space-group type: P-62m, No. 189

---

| no. | E_tot (eV/atom) |
| --- | --- |
| 1 | -3.477 |
| 2 | -3.763 |
| 3 | -5.738 |
| 4 | -7.702 |
| 5 | -5.437 |
| 6 | -2.580 |
| 7 | -3.567 |
| 8 | -6.102 |
| 9 | -5.789 |
| 10 | -5.735 |
| 11 | -5.608 |
| 12 | -4.603 |